## Mn2CrIn (GGA-PBE)

Data for Mn2CrIn after structural relaxation.

Properties
Magnetization in μB per formula unit: 2.854
Formation enthalpy at 0 K in eV per atom: 0.233

Structure (CIF):
```
data_Mn2CrIn
_chemical_formula_sum 'Mn4 Cr2 In2'
_space_group_name_H-M_alt 'I 4/m m m'
_space_group_IT_number 139
_space_group_name_Hall '-I 4 2'
_cell_length_a 3.993
_cell_length_b 3.993
_cell_length_c 7.489
_cell_angle_alpha 90.00
_cell_angle_beta 90.00
_cell_angle_gamma 90.00
loop_
_atom_site_label
_atom_site_type_symbol
_atom_site_fract_x
_atom_site_fract_y
_atom_site_fract_z
Mn1 Mn 0.000 0.500 0.250
Cr1 Cr 0.000 0.000 0.000
In1 In 0.000 0.000 0.500
```

***

## Mn2CrIn2 (GGA-PBE)

Data for Mn2CrIn2 after structural relaxation.

Properties
Magnetization in μB per formula unit: 0.000
Formation enthalpy at 0 K in eV per atom: 0.453

Structure (CIF):
```
data_Mn2CrIn2
_chemical_formula_sum 'Mn4 Cr2 In4'
_space_group_name_H-M_alt 'P 4/m b m'
_space_group_IT_number 127
_space_group_name_Hall '-P 4 2ab'
_cell_length_a 6.006
_cell_length_b 6.006
_cell_length_c 4.316
_cell_angle_alpha 90.00
_cell_angle_beta 90.00
_cell_angle_gamma 90.00
loop_
_atom_site_label
_atom_site_type_symbol
_atom_site_fract_x
_atom_site_fract_y
_atom_site_fract_z
Mn1 Mn 0.130 0.370 0.000
Cr1 Cr 0.000 0.000 0.000
In1 In 0.180 0.680 0.500
```

***

## Mn2CrIn (GGA-PBE)

Data for Mn2CrIn after structural relaxation.

Properties
Magnetization in μB per formula unit: 4.155
Formation enthalpy at 0 K in eV per atom: 0.178

Structure (CIF):
```
data_Mn2CrIn
_chemical_formula_sum 'Mn2 Cr1 In1'
_space_group_name_H-M_alt 'P 4/m m m'
_space_group_IT_number 123
_space_group_name_Hall '-P 4 2'
_cell_length_a 3.042
_cell_length_b 3.042
_cell_length_c 6.490
_cell_angle_alpha 90.00
_cell_angle_beta 90.00
_cell_angle_gamma 90.00
loop_
_atom_site_label
_atom_site_type_symbol
_atom_site_fract_x
_atom_site_fract_y
_atom_site_fract_z
Mn1 Mn 0.000 0.000 0.206
Cr1 Cr 0.500 0.500 0.000
In1 In 0.500 0.500 0.500
```

***

## MnCr2In (GGA-PBE)

Data for MnCr2In after structural relaxation.

Properties
Magnetization in μB per formula unit: 0.951
Formation enthalpy at 0 K in eV per atom: 0.382

Structure (CIF):
```
data_MnCr2In
_chemical_formula_sum 'Mn2 Cr4 In2'
_space_group_name_H-M_alt 'I m m m'
_space_group_IT_number 71
_space_group_name_Hall '-I 2 2'
_cell_length_a 3.070
_cell_length_b 4.253
_cell_length_c 8.473
_cell_angle_alpha 90.00
_cell_angle_beta 90.00
_cell_angle_gamma 90.00
loop_
_atom_site_label
_atom_site_type_symbol
_atom_site_fract_x
_atom_site_fract_y
_atom_site_fract_z
Mn1 Mn 0.000 0.000 0.000
Cr1 Cr 0.000 0.500 0.267
In1 In 0.000 0.000 0.500
```

***

## MnCr4In (GGA-PBE)

Data for MnCr4In after structural relaxation.

Properties
Magnetization in μB per formula unit: 1.420
Formation enthalpy at 0 K in eV per atom: 0.286

Structure (CIF):
```
data_MnCr4In
_chemical_formula_sum 'Mn4 Cr16 In4'
_space_group_name_H-M_alt 'F -4 3 m'
_space_group_IT_number 216
_space_group_name_Hall 'F -4 2 3'
_cell_length_a 6.839
_cell_length_b 6.839
_cell_length_c 6.839
_cell_angle_alpha 90.00
_cell_angle_beta 90.00
_cell_angle_gamma 90.00
loop_
_atom_site_label
_atom_site_type_symbol
_atom_site_fract_x
_atom_site_fract_y
_atom_site_fract_z
Mn1 Mn 0.000 0.000 0.000
Cr1 Cr 0.125 0.125 0.375
In1 In 0.250 0.250 0.750
```

***

## Mn2CrIn (GGA-PBE)

Data for Mn2CrIn after structural relaxation.

Properties
Magnetization in μB per formula unit: 4.133
Formation enthalpy at 0 K in eV per atom: 0.379

Structure (CIF):
```
data_Mn2CrIn
_chemical_formula_sum 'Mn6 Cr3 In3'
_space_group_name_H-M_alt 'R -3 m'
_space_group_IT_number 166
_space_group_name_Hall '-R 3 2"'
_cell_length_a 2.9415
_cell_length_b 2.9415
_cell_length_c 24.9494
_cell_angle_alpha 90.00
_cell_angle_beta 90.00
_cell_angle_gamma 120.00
loop_
_atom_site_label
_atom_site_type_symbol
_atom_site_fract_x
_atom_site_fract_y
_atom_site_fract_z
Mn1 Mn 0.0000 0.0000 0.2386
Cr1 Cr 0.0000 0.0000 0.5000
In1 In 0.0000 0.0000 0.0000
```